Compound: LaHfS2Cl
Source: Alexandria via LeMat-Bulk
Functional: PBE
Structure: relaxed

Properties
* size of the total moment: 0.40 Bohr magnetons per cell
* ΔE_f (raw): -296 meV per atom
* VASP energy: -5.293 eV/atom
* density of states at the Fermi level: 1.203 states/eV/atom

Cell and atoms, written as CIF:
```
data_LaHfS2Cl
_chemical_formula_sum 'La1 Hf1 S2 Cl1'
_space_group_name_H-M_alt 'P 4/m m m'
_space_group_IT_number 123
_space_group_name_Hall '-P 4 2'
_cell_length_a 5.504
_cell_length_b 5.504
_cell_length_c 5.288
_cell_angle_alpha 90.00
_cell_angle_beta 90.00
_cell_angle_gamma 90.00
loop_
_atom_site_label
_atom_site_fract_x
_atom_site_fract_y
_atom_site_fract_z
La1 0.000 0.000 0.000
Hf1 0.500 0.500 0.500
S1 0.000 0.500 0.000
Cl1 0.000 0.000 0.500
```


Compound: LaHfS2Cl
Source: Alexandria via LeMat-Bulk
Functional: PBE
Structure: relaxed

Properties
* size of the total moment: 0.00 Bohr magnetons per cell
* ΔE_f (raw): -1413 meV per atom
* VASP energy: -6.409 eV/atom
* density of states at the Fermi level: 0.758 states/eV/atom

Cell and atoms, written as CIF:
```
data_LaHfS2Cl
_chemical_formula_sum 'La1 Hf1 S2 Cl1'
_space_group_name_H-M_alt 'P 4/m m m'
_space_group_IT_number 123
_space_group_name_Hall '-P 4 2'
_cell_length_a 4.935
_cell_length_b 4.935
_cell_length_c 4.800
_cell_angle_alpha 90.00
_cell_angle_beta 90.00
_cell_angle_gamma 90.00
loop_
_atom_site_label
_atom_site_fract_x
_atom_site_fract_y
_atom_site_fract_z
La1 0.000 0.000 0.000
Hf1 0.500 0.500 0.500
S1 0.000 0.500 0.500
Cl1 0.500 0.500 0.000
```


Compound: LaHfSb2Cl
Source: Alexandria via LeMat-Bulk
Functional: PBE
Structure: relaxed

Properties
* size of the total moment: 0.00 Bohr magnetons per cell
* ΔE_f (raw): -246 meV per atom
* VASP energy: -5.241 eV/atom
* density of states at the Fermi level: 0.673 states/eV/atom

Cell and atoms, written as CIF:
```
data_LaHfSb2Cl
_chemical_formula_sum 'La1 Hf1 Sb2 Cl1'
_space_group_name_H-M_alt 'P 4/m m m'
_space_group_IT_number 123
_space_group_name_Hall '-P 4 2'
_cell_length_a 5.362
_cell_length_b 5.362
_cell_length_c 6.086
_cell_angle_alpha 90.00
_cell_angle_beta 90.00
_cell_angle_gamma 90.00
loop_
_atom_site_label
_atom_site_fract_x
_atom_site_fract_y
_atom_site_fract_z
La1 0.000 0.000 0.000
Hf1 0.000 0.000 0.500
Sb1 0.000 0.500 0.500
Cl1 0.500 0.500 0.000
```


Compound: La2HfSnCl
Source: Alexandria via LeMat-Bulk
Functional: PBE
Structure: relaxed

Properties
* size of the total moment: 0.00 Bohr magnetons per cell
* ΔE_f (raw): 4 meV per atom
* VASP energy: -5.128 eV/atom
* density of states at the Fermi level: 1.118 states/eV/atom

Cell and atoms, written as CIF:
```
data_La2HfSnCl
_chemical_formula_sum 'La2 Hf1 Sn1 Cl1'
_space_group_name_H-M_alt 'P 4/m m m'
_space_group_IT_number 123
_space_group_name_Hall '-P 4 2'
_cell_length_a 5.928
_cell_length_b 5.928
_cell_length_c 4.744
_cell_angle_alpha 90.00
_cell_angle_beta 90.00
_cell_angle_gamma 90.00
loop_
_atom_site_label
_atom_site_fract_x
_atom_site_fract_y
_atom_site_fract_z
La1 0.000 0.500 0.000
Hf1 0.000 0.000 0.000
Sn1 0.500 0.500 0.500
Cl1 0.000 0.000 0.500
```


Compound: LaHfTa2Cl
Source: Alexandria via LeMat-Bulk
Functional: PBE
Structure: relaxed

Properties
* size of the total moment: 0.00 Bohr magnetons per cell
* ΔE_f (raw): 1768 meV per atom
* VASP energy: -6.319 eV/atom
* density of states at the Fermi level: 1.806 states/eV/atom

Cell and atoms, written as CIF:
```
data_LaHfTa2Cl
_chemical_formula_sum 'La1 Hf1 Ta2 Cl1'
_space_group_name_H-M_alt 'P 4/m m m'
_space_group_IT_number 123
_space_group_name_Hall '-P 4 2'
_cell_length_a 5.123
_cell_length_b 5.123
_cell_length_c 5.160
_cell_angle_alpha 90.00
_cell_angle_beta 90.00
_cell_angle_gamma 90.00
loop_
_atom_site_label
_atom_site_fract_x
_atom_site_fract_y
_atom_site_fract_z
La1 0.000 0.000 0.000
Hf1 0.500 0.500 0.500
Ta1 0.000 0.500 0.000
Cl1 0.000 0.000 0.500
```


Compound: LaHf2TiCl
Source: Alexandria via LeMat-Bulk
Functional: PBE
Structure: relaxed

Properties
* size of the total moment: 0.32 Bohr magnetons per cell
* ΔE_f (raw): 78 meV per atom
* VASP energy: -6.838 eV/atom
* density of states at the Fermi level: 1.557 states/eV/atom

Cell and atoms, written as CIF:
```
data_LaHf2TiCl
_chemical_formula_sum 'La1 Hf2 Ti1 Cl1'
_space_group_name_H-M_alt 'P 4/m m m'
_space_group_IT_number 123
_space_group_name_Hall '-P 4 2'
_cell_length_a 4.996
_cell_length_b 4.996
_cell_length_c 4.602
_cell_angle_alpha 90.00
_cell_angle_beta 90.00
_cell_angle_gamma 90.00
loop_
_atom_site_label
_atom_site_fract_x
_atom_site_fract_y
_atom_site_fract_z
La1 0.000 0.000 0.000
Hf1 0.000 0.500 0.500
Ti1 0.500 0.500 0.000
Cl1 0.500 0.500 0.500
```


Compound: LaHf2TlCl
Source: Alexandria via LeMat-Bulk
Functional: PBE
Structure: relaxed

Properties
* size of the total moment: 0.00 Bohr magnetons per cell
* ΔE_f (raw): 12 meV per atom
* VASP energy: -5.798 eV/atom
* density of states at the Fermi level: 1.063 states/eV/atom

Cell and atoms, written as CIF:
```
data_LaHf2TlCl
_chemical_formula_sum 'La1 Hf2 Tl1 Cl1'
_space_group_name_H-M_alt 'P 4/m m m'
_space_group_IT_number 123
_space_group_name_Hall '-P 4 2'
_cell_length_a 4.837
_cell_length_b 4.837
_cell_length_c 5.447
_cell_angle_alpha 90.00
_cell_angle_beta 90.00
_cell_angle_gamma 90.00
loop_
_atom_site_label
_atom_site_fract_x
_atom_site_fract_y
_atom_site_fract_z
La1 0.000 0.000 0.000
Hf1 0.000 0.500 0.500
Tl1 0.500 0.500 0.000
Cl1 0.000 0.000 0.500
```


Compound: LiHf2Cl
Source: Alexandria via LeMat-Bulk
Functional: PBE
Structure: relaxed

Properties
* size of the total moment: 0.00 Bohr magnetons per cell
* ΔE_f (raw): 260 meV per atom
* VASP energy: -5.657 eV/atom
* density of states at the Fermi level: 0.781 states/eV/atom

Cell and atoms, written as CIF:
```
data_LiHf2Cl
_chemical_formula_sum 'Li4 Hf8 Cl4'
_space_group_name_H-M_alt 'I -4 2 d'
_space_group_IT_number 122
_space_group_name_Hall 'I -4 2bw'
_cell_length_a 3.953
_cell_length_b 3.953
_cell_length_c 22.216
_cell_angle_alpha 90.00
_cell_angle_beta 90.00
_cell_angle_gamma 90.00
loop_
_atom_site_label
_atom_site_fract_x
_atom_site_fract_y
_atom_site_fract_z
Li1 0.000 0.000 0.000
Hf1 0.247 0.250 0.625
Cl1 0.000 0.000 0.500
```


Compound: LiHf2Cl8
Source: Alexandria via LeMat-Bulk
Functional: PBE
Structure: relaxed

Properties
* size of the total moment: 0.86 Bohr magnetons per cell
* ΔE_f (raw): -1595 meV per atom
* VASP energy: -4.922 eV/atom
* density of states at the Fermi level: 0.384 states/eV/atom

Cell and atoms, written as CIF:
```
data_LiHf2Cl8
_chemical_formula_sum 'Li1 Hf2 Cl8'
_space_group_name_H-M_alt 'P -1'
_space_group_IT_number 2
_cell_length_a 5.074
_cell_length_b 8.300
_cell_length_c 8.305
_cell_angle_alpha 60.03
_cell_angle_beta 90.00
_cell_angle_gamma 90.00
loop_
_space_group_symop_operation_xyz
'x,y,z'
'-x,-y,-z'
loop_
_atom_site_label
_atom_site_fract_x
_atom_site_fract_y
_atom_site_fract_z
Li1 0.000 0.000 0.000
Hf1 0.236 0.667 0.667
Cl1 0.248 0.338 0.832
Cl2 0.248 0.830 0.338
Cl3 0.248 0.832 0.830
Cl4 0.259 0.333 0.333
```


Compound: LiHfCl4
Source: Alexandria via LeMat-Bulk
Functional: PBE
Structure: relaxed

Properties
* size of the total moment: 2.00 Bohr magnetons per cell
* ΔE_f (raw): -1533 meV per atom
* VASP energy: -4.742 eV/atom

Cell and atoms, written as CIF:
```
data_LiHfCl4
_chemical_formula_sum 'Li2 Hf2 Cl8'
_space_group_name_H-M_alt 'I -4'
_space_group_IT_number 82
_cell_length_a 6.975
_cell_length_b 6.975
_cell_length_c 8.233
_cell_angle_alpha 90.00
_cell_angle_beta 90.00
_cell_angle_gamma 90.00
loop_
_space_group_symop_operation_xyz
'x,y,z'
'y,-x,-z'
'-x,-y,z'
'-y,x,-z'
'x+1/2,y+1/2,z+1/2'
'y+1/2,-x+1/2,-z+1/2'
'-x+1/2,-y+1/2,z+1/2'
'-y+1/2,x+1/2,-z+1/2'
loop_
_atom_site_label
_atom_site_fract_x
_atom_site_fract_y
_atom_site_fract_z
Li1 0.000 0.000 0.000
Hf1 0.000 0.500 0.750
Cl1 0.181 0.225 0.839
```


Compound: Li3HfCl
Source: Alexandria via LeMat-Bulk
Functional: PBE
Structure: relaxed

Properties
* size of the total moment: 4.00 Bohr magnetons per cell
* ΔE_f (raw): 990 meV per atom
* VASP energy: -2.518 eV/atom
* density of states at the Fermi level: 1.368 states/eV/atom

Cell and atoms, written as CIF:
```
data_Li3HfCl
_chemical_formula_sum 'Li3 Hf1 Cl1'
_space_group_name_H-M_alt 'P m -3 m'
_space_group_IT_number 221
_space_group_name_Hall '-P 4 2 3'
_cell_length_a 5.611
_cell_length_b 5.611
_cell_length_c 5.611
_cell_angle_alpha 90.00
_cell_angle_beta 90.00
_cell_angle_gamma 90.00
loop_
_atom_site_label
_atom_site_fract_x
_atom_site_fract_y
_atom_site_fract_z
Li1 0.000 0.000 0.500
Hf1 0.000 0.000 0.000
Cl1 0.500 0.500 0.500
```


Compound: LiHfCl2
Source: Alexandria via LeMat-Bulk
Functional: PBE
Structure: relaxed

Properties
* size of the total moment: 2.84 Bohr magnetons per cell
* ΔE_f (raw): -1103 meV per atom
* VASP energy: -4.994 eV/atom
* density of states at the Fermi level: 0.717 states/eV/atom

Cell and atoms, written as CIF:
```
data_LiHfCl2
_chemical_formula_sum 'Li3 Hf3 Cl6'
_space_group_name_H-M_alt 'R -3 m'
_space_group_IT_number 166
_space_group_name_Hall '-R 3 2"'
_cell_length_a 3.4304
_cell_length_b 3.4304
_cell_length_c 23.9046
_cell_angle_alpha 90.00
_cell_angle_beta 90.00
_cell_angle_gamma 120.00
loop_
_atom_site_label
_atom_site_fract_x
_atom_site_fract_y
_atom_site_fract_z
Li1 0.0000 0.0000 0.0000
Hf1 0.0000 0.0000 0.5000
Cl1 0.0000 0.0000 0.3953
```